No. 1
A plane-wave DFT calculation with PBE-GGA was carried out for a geometry-optimized CsRbHf3 structure.

Calculated values
The calculation puts the energy above the most stable polymorph in this dataset at 4.241 kcal/mol of atoms. As for the crystal system: cubic. The calculation puts the formation energy at 2.4769 eV/atom. The density of states at the Fermi level is 7.39 states/eV/cell.

abc: 5.4953 5.4953 5.4953
angles: 90.00 90.00 90.00
With the nearest neighbours (Å) after each atom.
Sites, in units of the cell vectors:
1 Cs 0.0000 0.0000 0.0000  12 Hf 3.89
2 Rb 0.5000 0.5000 0.5000  6 Hf 2.75
3 Hf 0.0000 0.5000 0.5000  2 Rb 2.75
4 Hf 0.5000 0.0000 0.5000  2 Rb 2.75
5 Hf 0.5000 0.5000 0.0000  2 Rb 2.75

=====

No. 2
A plane-wave DFT calculation with PBE-GGA was carried out for a geometry-optimized Sr2DyPaAs4 structure.

Calculated values
As for the crystal system: monoclinic. The calculation puts the formation energy at -1.2752 eV/atom.

abc: 7.3234 4.2810 7.5408
angles: 90.00 108.96 90.00
With the nearest neighbours (Å) after each atom.
Sites, in units of the cell vectors:
1 Sr 0.0000 0.0000 0.0000  6 As 3.20-3.22
2 Sr 0.5000 0.5000 0.0000  6 As 3.13-3.15
3 Dy 0.0000 0.5000 0.5000  6 As 2.93-2.95
4 Pa 0.5000 0.0000 0.5000  6 As 2.84-2.89
5 As 0.2495 0.0000 0.7192  1 Pa 2.84, 2 Dy 2.95, 2 Sr 3.15
6 As 0.2680 0.5000 0.2832  2 Pa 2.89, 1 Dy 2.93, 3 Sr 3.13-3.20
7 As 0.7320 0.5000 0.7168  2 Pa 2.89, 1 Dy 2.93, 3 Sr 3.13-3.20
8 As 0.7505 0.0000 0.2808  1 Pa 2.84, 2 Dy 2.95, 2 Sr 3.15

=====

No. 3
A plane-wave DFT calculation with PBE-GGA was carried out for a geometry-optimized LiTaSe4 structure.

Calculated values
The calculation puts the energy above the most stable polymorph in this dataset at 0.000 kcal/mol of atoms. As for the crystal system: monoclinic. The value obtained for the energy relative to the elements, uncorrected is -0.64 eV/atom. The density of states at the Fermi level is 1.29 states/eV/cell.

abc: 8.2496 8.2496 6.0698
angles: 108.76 108.76 116.72
With the nearest neighbours (Å) after each atom.
Sites, in units of the cell vectors:
1 Li 0.2112 0.7888 0.7500  6 Se 2.78-3.04
2 Li 0.7888 0.2112 0.2500  6 Se 2.78-3.04
3 Ta 0.4444 0.5556 0.2500  6 Se 2.52-2.69
4 Ta 0.5556 0.4444 0.7500  6 Se 2.52-2.69
5 Se 0.0876 0.4791 0.8822  1 Se 2.39
6 Se 0.2048 0.3377 0.3752  2 Ta 2.52-2.55
7 Se 0.3377 0.2048 0.8752  2 Ta 2.52-2.55
8 Se 0.4791 0.0876 0.3822  1 Se 2.39
9 Se 0.5209 0.9124 0.6178  1 Se 2.39
10 Se 0.6623 0.7952 0.1248  2 Ta 2.52-2.55
11 Se 0.7952 0.6623 0.6248  2 Ta 2.52-2.55
12 Se 0.9124 0.5209 0.1178  1 Se 2.39

=====

No. 4
A plane-wave DFT calculation with PBE-GGA was carried out for a geometry-optimized Dy2TeO6 structure.

Calculated values
The calculation puts the energy above the most stable polymorph in this dataset at 1.304 kcal/mol of atoms. As for the crystal system: monoclinic. The value obtained for the energy relative to the elements, uncorrected is -2.51 eV/atom. The density of states at the Fermi level is 0.00 states/eV/cell.

abc: 5.5148 5.7322 9.4349
angles: 90.00 119.56 90.00
With the nearest neighbours (Å) after each atom.
Sites, in units of the cell vectors:
1 Dy 0.1927 0.0676 0.2335  5 O 2.22-2.39
2 Dy 0.1927 0.4324 0.7335  5 O 2.22-2.39
3 Dy 0.8073 0.5676 0.2665  5 O 2.22-2.39
4 Dy 0.8073 0.9324 0.7665  5 O 2.22-2.39
5 Te 0.5000 0.0000 0.0000  6 O 1.93-1.97
6 Te 0.5000 0.5000 0.5000  6 O 1.93-1.97
7 O 0.1718 0.1819 0.9529  1 Te 1.94
8 O 0.1718 0.3181 0.4529  1 Te 1.94
9 O 0.2378 0.7423 0.8862  1 Te 1.97
10 O 0.2378 0.7577 0.3862  1 Te 1.97
11 O 0.4680 0.1081 0.7979  1 Te 1.93
12 O 0.4680 0.3919 0.2979  1 Te 1.93
13 O 0.5320 0.6081 0.7021  1 Te 1.93
14 O 0.5320 0.8919 0.2021  1 Te 1.93
15 O 0.7622 0.2423 0.6138  1 Te 1.97
16 O 0.7622 0.2577 0.1138  1 Te 1.97
17 O 0.8282 0.6819 0.5471  1 Te 1.94
18 O 0.8282 0.8181 0.0471  1 Te 1.94

=====

No. 5
A plane-wave DFT calculation with PBE-GGA was carried out for a geometry-optimized Pm9Tm4Al11 structure.

Calculated values
As for the crystal system: orthorhombic. The calculation puts the formation energy at -0.2975 eV/atom. The density of states at the Fermi level is 14.09 states/eV/cell.

abc: 13.5996 13.5996 3.4555
angles: 90.00 90.00 108.52
With the nearest neighbours (Å) after each atom.
Sites, in units of the cell vectors:
1 Pm 0.0000 0.0000 0.0000  4 Al 3.25, 4 Tm 3.27, 2 Pm 3.46
2 Pm 0.1191 0.6541 0.0000  8 Al 3.16-3.45, 1 Tm 3.35, 2 Pm 3.46
3 Pm 0.2940 0.4749 0.0000  8 Al 3.17-3.28, 1 Tm 3.45, 2 Pm 3.46
4 Pm 0.3459 0.8809 0.0000  8 Al 3.16-3.45, 1 Tm 3.35, 2 Pm 3.46
5 Pm 0.4749 0.2940 0.0000  8 Al 3.17-3.28, 1 Tm 3.45, 2 Pm 3.46
6 Pm 0.5251 0.7060 0.0000  8 Al 3.17-3.28, 1 Tm 3.45, 2 Pm 3.46
7 Pm 0.6541 0.1191 0.0000  8 Al 3.16-3.45, 1 Tm 3.35, 2 Pm 3.46
8 Pm 0.7060 0.5251 0.0000  8 Al 3.17-3.28, 1 Tm 3.45, 2 Pm 3.46
9 Pm 0.8809 0.3459 0.0000  8 Al 3.16-3.45, 1 Tm 3.35, 2 Pm 3.46
10 Tm 0.0814 0.2534 0.0000  6 Al 3.08-3.28, 2 Pm 3.27-3.35
11 Tm 0.2534 0.0814 0.0000  6 Al 3.08-3.28, 2 Pm 3.27-3.35
12 Tm 0.7466 0.9186 0.0000  6 Al 3.08-3.28, 2 Pm 3.27-3.35
13 Tm 0.9186 0.7466 0.0000  6 Al 3.08-3.28, 2 Pm 3.27-3.35
14 Al 0.0821 0.4480 0.5000  1 Al 3.00, 2 Tm 3.16, 6 Pm 3.16-3.28
15 Al 0.1245 0.8755 0.5000  6 Pm 3.25-3.45, 4 Tm 3.28, 2 Al 3.46
16 Al 0.2743 0.2743 0.5000  4 Tm 3.08, 4 Pm 3.17
17 Al 0.3209 0.6791 0.5000  8 Pm 3.17-3.19, 2 Al 3.46
18 Al 0.4480 0.0821 0.5000  1 Al 3.00, 2 Tm 3.16, 6 Pm 3.16-3.28
19 Al 0.5000 0.5000 0.5000  8 Pm 3.22, 4 Al 3.46-3.59
20 Al 0.5520 0.9179 0.5000  1 Al 3.00, 2 Tm 3.16, 6 Pm 3.16-3.28
21 Al 0.6791 0.3209 0.5000  8 Pm 3.17-3.19, 2 Al 3.46
22 Al 0.7257 0.7257 0.5000  4 Tm 3.08, 4 Pm 3.17
23 Al 0.8755 0.1245 0.5000  6 Pm 3.25-3.45, 4 Tm 3.28, 2 Al 3.46
24 Al 0.9179 0.5520 0.5000  1 Al 3.00, 2 Tm 3.16, 6 Pm 3.16-3.28

=====

No. 6
A plane-wave DFT calculation with PBE-GGA was carried out for a geometry-optimized Ba2SbAs structure.

Calculated values
The calculation puts the energy above the most stable polymorph in this dataset at 2.893 kcal/mol of atoms. As for the crystal system: orthorhombic. The value obtained for the energy relative to the elements, uncorrected is -0.83 eV/atom. The density of states at the Fermi level is 3.65 states/eV/cell.

abc: 7.0389 8.8136 4.4401
angles: 90.00 90.00 90.00
With the nearest neighbours (Å) after each atom.
Sites, in units of the cell vectors:
1 Ba 0.2500 0.2500 0.0000  2 Ba 3.52, 4 As 3.59, 4 Sb 3.59
2 Ba 0.2500 0.7500 0.0000  2 Ba 3.52, 4 As 3.59, 4 Sb 3.59
3 Ba 0.7500 0.2500 0.0000  2 Ba 3.52, 4 As 3.59, 4 Sb 3.59
4 Ba 0.7500 0.7500 0.0000  2 Ba 3.52, 4 Sb 3.59, 4 As 3.59
5 Sb 0.0000 0.0000 0.5000  2 As 3.52, 8 Ba 3.59
6 Sb 0.5000 0.5000 0.5000  2 As 3.52, 8 Ba 3.59
7 As 0.0000 0.5000 0.5000  2 Sb 3.52, 8 Ba 3.59
8 As 0.5000 0.0000 0.5000  2 Sb 3.52, 8 Ba 3.59

=====

No. 7
A plane-wave DFT calculation with PBE-GGA was carried out for a geometry-optimized Li5Ge2As5 structure.

Calculated values
As for the crystal system: monoclinic. The calculation puts the formation energy at -0.3063 eV/atom. The density of states at the Fermi level is 1.47 states/eV/cell.

abc: 6.8815 6.8815 11.1882
angles: 108.62 108.62 28.85
With the nearest neighbours (Å) after each atom.
Sites, in units of the cell vectors:
1 Li 0.0000 0.0000 0.0000  4 As 2.83
2 Li 0.1670 0.1670 0.5421  5 As 2.72-2.87
3 Li 0.2652 0.2652 0.8568  5 As 2.68-2.78
4 Li 0.7348 0.7348 0.1432  5 As 2.68-2.78
5 Li 0.8330 0.8330 0.4579  5 As 2.72-2.87
6 Ge 0.4607 0.4607 0.7118  4 As 2.42-2.59
7 Ge 0.5393 0.5393 0.2882  4 As 2.42-2.59
8 As 0.1707 0.1707 0.3000  2 Ge 2.42
9 As 0.3810 0.3810 0.1035  1 Ge 2.42, 1 Li 2.68
10 As 0.5000 0.5000 0.5000  2 Ge 2.59, 4 Li 2.72
11 As 0.6190 0.6190 0.8965  1 Ge 2.42, 1 Li 2.68
12 As 0.8293 0.8293 0.7000  2 Ge 2.42

=====

No. 8
A plane-wave DFT calculation with PBE-GGA was carried out for a geometry-optimized Zr2CdPb structure.

Calculated values
As for the crystal system: tetragonal. The calculation puts the formation energy at -0.1068 eV/atom. The density of states at the Fermi level is 5.41 states/eV/cell.

abc: 4.3082 4.3082 9.9494
angles: 90.00 90.00 90.00
With the nearest neighbours (Å) after each atom.
Sites, in units of the cell vectors:
1 Zr 0.0000 0.0000 0.0000  4 Cd 3.05, 4 Zr 3.29, 4 Pb 3.29
2 Zr 0.0000 0.5000 0.2500  4 Pb 3.05, 4 Cd 3.29, 4 Zr 3.29
3 Zr 0.5000 0.0000 0.7500  4 Pb 3.05, 4 Zr 3.29, 4 Cd 3.29
4 Zr 0.5000 0.5000 0.5000  4 Cd 3.05, 4 Zr 3.29, 4 Pb 3.29
5 Cd 0.0000 0.0000 0.5000  8 Zr 3.05-3.29, 4 Pb 3.29
6 Cd 0.5000 0.5000 0.0000  8 Zr 3.05-3.29, 4 Pb 3.29
7 Pb 0.0000 0.5000 0.7500  8 Zr 3.05-3.29, 4 Cd 3.29
8 Pb 0.5000 0.0000 0.2500  8 Zr 3.05-3.29, 4 Cd 3.29

=====

No. 9
A plane-wave DFT calculation with PBE-GGA was carried out for a geometry-optimized SnBiPt2 structure.

Calculated values
As for the crystal system: tetragonal. The calculation puts the formation energy at -0.0444 eV/atom. The density of states at the Fermi level is 7.07 states/eV/cell.

abc: 7.1694 7.1694 7.4893
angles: 90.00 90.00 90.00
With the nearest neighbours (Å) after each atom.
Sites, in units of the cell vectors:
1 Sn 0.0000 0.0000 0.0000  4 Pt 2.64
2 Sn 0.0000 0.5000 0.2500  4 Pt 2.64
3 Sn 0.5000 0.0000 0.7500  4 Pt 2.64
4 Sn 0.5000 0.5000 0.5000  4 Pt 2.64
5 Bi 0.0000 0.0000 0.5000  4 Pt 2.77
6 Bi 0.0000 0.5000 0.7500  4 Pt 2.77
7 Bi 0.5000 0.0000 0.2500  4 Pt 2.77
8 Bi 0.5000 0.5000 0.0000  4 Pt 2.77
9 Pt 0.2359 0.2500 0.1250  2 Sn 2.64, 2 Bi 2.77
10 Pt 0.2500 0.7359 0.3750  2 Sn 2.64, 2 Bi 2.77
11 Pt 0.2500 0.7641 0.8750  2 Sn 2.64, 2 Bi 2.77
12 Pt 0.2641 0.2500 0.6250  2 Sn 2.64, 2 Bi 2.77
13 Pt 0.7359 0.7500 0.6250  2 Sn 2.64, 2 Bi 2.77
14 Pt 0.7500 0.2359 0.8750  2 Sn 2.64, 2 Bi 2.77
15 Pt 0.7500 0.2641 0.3750  2 Sn 2.64, 2 Bi 2.77
16 Pt 0.7641 0.7500 0.1250  2 Sn 2.64, 2 Bi 2.77

=====

No. 10
A plane-wave DFT calculation with PBE-GGA was carried out for a geometry-optimized DyB4Rh structure.

Calculated values
As for the crystal system: orthorhombic. The calculation puts the formation energy at -0.6175 eV/atom. The density of states at the Fermi level is 4.56 states/eV/cell.

abc: 5.9619 11.5585 3.5711
angles: 90.00 90.00 90.00
With the nearest neighbours (Å) after each atom.
Sites, in units of the cell vectors:
1 Dy 0.1309 0.1489 0.0000  14 B 2.63-2.78
2 Dy 0.3691 0.6489 0.0000  14 B 2.63-2.78
3 Dy 0.6309 0.3511 0.0000  14 B 2.63-2.78
4 Dy 0.8691 0.8511 0.0000  14 B 2.63-2.78
5 B 0.0227 0.6927 0.5000  3 B 1.77-1.86
6 B 0.1122 0.5469 0.5000  3 B 1.72-1.77
7 B 0.1361 0.9691 0.5000  3 B 1.75-1.86
8 B 0.2102 0.8129 0.5000  3 B 1.78-1.86
9 B 0.2898 0.3129 0.5000  3 B 1.78-1.86
10 B 0.3639 0.4691 0.5000  3 B 1.75-1.86
11 B 0.3878 0.0469 0.5000  3 B 1.72-1.77
12 B 0.4773 0.1927 0.5000  3 B 1.77-1.86
13 B 0.5227 0.8073 0.5000  3 B 1.77-1.86
14 B 0.6122 0.9531 0.5000  3 B 1.72-1.77
15 B 0.6361 0.5309 0.5000  3 B 1.75-1.86
16 B 0.7102 0.6871 0.5000  3 B 1.78-1.86
17 B 0.7898 0.1871 0.5000  3 B 1.78-1.86
18 B 0.8639 0.0309 0.5000  3 B 1.75-1.86
19 B 0.8878 0.4531 0.5000  3 B 1.72-1.77
20 B 0.9773 0.3073 0.5000  3 B 1.77-1.86
21 Rh 0.1416 0.4055 0.0000  10 B 2.26-2.43
22 Rh 0.3584 0.9055 0.0000  10 B 2.26-2.43
23 Rh 0.6416 0.0945 0.0000  10 B 2.26-2.43
24 Rh 0.8584 0.5945 0.0000  10 B 2.26-2.43

=====

| no. | volume (Å³/atom) |
| --- | --- |
| 1 | 33.2 |
| 2 | 27.9 |
| 3 | 24.3 |
| 4 | 14.4 |
| 5 | 25.3 |
| 6 | 34.4 |
| 7 | 20.1 |
| 8 | 23.1 |
| 9 | 24.1 |
| 10 | 10.3 |